Crystalline PmPuSi2 at its relaxed geometry. Source: Alexandria via LeMat-Bulk, functional PBE.

formation energy from raw total energies: -0.573 eV/atom

Cell lengths 3.8563, 5.8228, 8.1273 Å; angles 90.00, 90.00, 90.00 degrees
With the nearest neighbours (Å) after each atom.
Atoms (fractional coordinates):
Pm1 0.0000 0.1399 0.0000  7 Si 3.03-3.22
Pm2 0.0000 0.8601 0.5000  7 Si 3.03-3.22
Pu1 0.5000 0.3605 0.3581  7 Si 3.01-3.19
Pu2 0.5000 0.6395 0.8581  7 Si 3.01-3.19
Si1 0.0000 0.3754 0.6454  2 Si 2.45
Si2 0.0000 0.6246 0.1454  2 Si 2.45
Si3 0.5000 0.1318 0.7120  2 Si 2.45
Si4 0.5000 0.8682 0.2120  2 Si 2.45



Crystalline Pm4PuSi4 at its relaxed geometry. Source: Alexandria via LeMat-Bulk, functional PBE.

formation energy from raw total energies: -0.400 eV/atom

Cell lengths 8.9235, 8.9235, 5.9542 Å; angles 90.00, 90.00, 90.00 degrees
With the nearest neighbours (Å) after each atom.
Atoms (fractional coordinates):
Pm1 0.0427 0.6756 0.1115  4 Si 2.89-3.18
Pm2 0.1756 0.9573 0.6115  4 Si 2.89-3.18
Pm3 0.3244 0.5427 0.6115  4 Si 2.89-3.18
Pm4 0.4573 0.8244 0.1115  4 Si 2.89-3.18
Pm5 0.5427 0.1756 0.8885  4 Si 2.89-3.18
Pm6 0.6756 0.4573 0.3885  4 Si 2.89-3.18
Pm7 0.8244 0.0427 0.3885  4 Si 2.89-3.18
Pm8 0.9573 0.3244 0.8885  4 Si 2.89-3.18
Pu1 0.2500 0.2500 0.2500  4 Si 2.74
Pu2 0.7500 0.7500 0.7500  4 Si 2.74
Si1 0.0102 0.6199 0.6017  1 Si 2.46, 1 Pu 2.74
Si2 0.1199 0.9898 0.1017  1 Si 2.46, 1 Pu 2.74
Si3 0.3801 0.5102 0.1017  1 Si 2.46, 1 Pu 2.74
Si4 0.4898 0.8801 0.6017  1 Si 2.46, 1 Pu 2.74
Si5 0.5102 0.1199 0.3983  1 Si 2.46, 1 Pu 2.74
Si6 0.6199 0.4898 0.8983  1 Si 2.46, 1 Pu 2.74
Si7 0.8801 0.0102 0.8983  1 Si 2.46, 1 Pu 2.74
Si8 0.9898 0.3801 0.3983  1 Si 2.46, 1 Pu 2.74



Crystalline PmPuSi4 at its relaxed geometry. Source: Alexandria via LeMat-Bulk, functional PBE.

offset from the most stable computed form: 0.241 eV per formula unit
formation energy from raw total energies: -0.531 eV/atom

Cell lengths 4.0755, 4.0755, 8.0340 Å; angles 90.00, 90.00, 120.00 degrees
With the nearest neighbours (Å) after each atom.
Atoms (fractional coordinates):
Pm1 0.0000 0.0000 0.0000  12 Si 3.16
Pu1 0.0000 0.0000 0.5000  12 Si 3.03
Si1 0.3333 0.6667 0.2625  3 Si 2.35
Si2 0.3333 0.6667 0.7375  3 Si 2.35
Si3 0.6667 0.3333 0.2625  3 Si 2.35
Si4 0.6667 0.3333 0.7375  3 Si 2.35



Crystalline PmPu2Si6 at its relaxed geometry. Source: Alexandria via LeMat-Bulk, functional PBE.

offset from the most stable computed form: 0.000 eV per formula unit
formation energy from raw total energies: -0.503 eV/atom

Cell lengths 7.0491, 7.0491, 3.9695 Å; angles 90.00, 90.00, 120.00 degrees
With the nearest neighbours (Å) after each atom.
Atoms (fractional coordinates):
Pm1 0.0000 0.0000 0.0000  12 Si 3.08
Pu1 0.3333 0.6667 0.0000  12 Si 3.07
Pu2 0.6667 0.3333 0.0000  12 Si 3.07
Si1 0.0000 0.3348 0.5000  3 Si 2.33-2.36
Si2 0.0000 0.6652 0.5000  3 Si 2.33-2.36
Si3 0.3348 0.0000 0.5000  3 Si 2.33-2.36
Si4 0.3348 0.3348 0.5000  3 Si 2.33-2.36
Si5 0.6652 0.0000 0.5000  3 Si 2.33-2.36
Si6 0.6652 0.6652 0.5000  3 Si 2.33-2.36



Crystalline Pm3Pu2Si3 at its relaxed geometry. Source: Alexandria via LeMat-Bulk, functional PBE.

formation energy from raw total energies: -0.363 eV/atom

Cell lengths 11.5404, 11.5404, 11.5404 Å; angles 160.60, 157.27, 30.05 degrees
With the nearest neighbours (Å) after each atom.
Atoms (fractional coordinates):
Pm1 0.0000 0.0000 0.0000  4 Si 2.99
Pm2 0.3830 0.8830 0.5000  6 Si 3.10-3.25, 2 Pu 3.42, 2 Pm 3.46
Pm3 0.6170 0.1170 0.5000  6 Si 3.10-3.25, 2 Pu 3.42, 2 Pm 3.46
Pu1 0.2565 0.2565 0.0000  4 Pu 3.01, 4 Si 3.01-3.03
Pu2 0.7435 0.7435 0.0000  4 Pu 3.01, 4 Si 3.01-3.03
Si1 0.1534 0.6534 0.5000  4 Pu 3.01-3.03, 4 Pm 3.10
Si2 0.5000 0.5000 0.0000  8 Pm 2.99-3.25
Si3 0.8466 0.3466 0.5000  4 Pu 3.01-3.03, 4 Pm 3.10



Crystalline PmPu2Si at its relaxed geometry. Source: Alexandria via LeMat-Bulk, functional PBE.

offset from the most stable computed form: 1.252 eV per formula unit
formation energy from raw total energies: 0.114 eV/atom

Cell lengths 5.1547, 5.1547, 5.1547 Å; angles 60.00, 60.00, 60.00 degrees
With the nearest neighbours (Å) after each atom.
Atoms (fractional coordinates):
Pm1 0.0000 0.0000 0.0000  8 Pu 3.16
Pu1 0.2500 0.2500 0.2500  4 Pm 3.16, 4 Si 3.16
Pu2 0.7500 0.7500 0.7500  4 Pm 3.16, 4 Si 3.16
Si1 0.5000 0.5000 0.5000  8 Pu 3.16



Crystalline PmPu2Si2 at its relaxed geometry. Source: Alexandria via LeMat-Bulk, functional PBE.

offset from the most stable computed form: 0.000 eV per formula unit
formation energy from raw total energies: -0.320 eV/atom

Cell lengths 6.9509, 6.9509, 8.1962 Å; angles 90.00, 90.00, 142.93 degrees
With the nearest neighbours (Å) after each atom.
Atoms (fractional coordinates):
Pm1 0.0809 0.9191 0.5000  6 Si 3.15-3.37, 1 Pu 3.52
Pm2 0.9191 0.0809 0.0000  6 Si 3.15-3.37, 1 Pu 3.52
Pu1 0.1810 0.8190 0.1020  5 Si 2.80-3.01, 2 Pu 2.89
Pu2 0.3526 0.6474 0.3815  4 Si 2.87-2.96, 2 Pu 2.89
Pu3 0.6474 0.3526 0.8815  4 Si 2.87-2.96, 2 Pu 2.89
Pu4 0.8190 0.1810 0.6020  5 Si 2.80-3.01, 2 Pu 2.89
Si1 0.2891 0.7109 0.8068  1 Si 2.46
Si2 0.4627 0.5373 0.6968  1 Si 2.46
Si3 0.5373 0.4627 0.1968  1 Si 2.46
Si4 0.7109 0.2891 0.3068  1 Si 2.46



Crystalline PmPuSi2 at its relaxed geometry. Source: Alexandria via LeMat-Bulk, functional PBE.

formation energy from raw total energies: -0.380 eV/atom

Cell lengths 3.8115, 3.8115, 6.0724 Å; angles 90.00, 90.00, 90.00 degrees
With the nearest neighbours (Å) after each atom.
Atoms (fractional coordinates):
Pm1 0.0000 0.0000 0.0000  2 Pu 3.04, 8 Si 3.23
Pu1 0.0000 0.0000 0.5000  8 Si 2.98, 2 Pm 3.04
Si1 0.5000 0.5000 0.2917  1 Si 2.53
Si2 0.5000 0.5000 0.7083  1 Si 2.53



Crystalline Pm2PuSi at its relaxed geometry. Source: Alexandria via LeMat-Bulk, functional PBE.

offset from the most stable computed form: 0.000 eV per formula unit
formation energy from raw total energies: -0.181 eV/atom

Cell lengths 4.7615, 4.7615, 4.4998 Å; angles 90.00, 90.00, 90.00 degrees
With the nearest neighbours (Å) after each atom.
Atoms (fractional coordinates):
Pm1 0.0000 0.5000 0.0000  4 Pu 3.28, 4 Si 3.28, 4 Pm 3.37
Pm2 0.5000 0.0000 0.0000  4 Pu 3.28, 4 Si 3.28, 4 Pm 3.37
Pu1 0.0000 0.0000 0.5000  8 Pm 3.28, 4 Si 3.37
Si1 0.5000 0.5000 0.5000  8 Pm 3.28, 4 Pu 3.37



Crystalline PmPuSi at its relaxed geometry. Source: Alexandria via LeMat-Bulk, functional PBE.

offset from the most stable computed form: 0.000 eV per formula unit
formation energy from raw total energies: -0.453 eV/atom

Cell lengths 4.2770, 4.2770, 8.1635 Å; angles 90.00, 90.00, 90.00 degrees
With the nearest neighbours (Å) after each atom.
Atoms (fractional coordinates):
Pm1 0.2500 0.2500 0.1425  5 Si 3.07-3.11
Pm2 0.7500 0.7500 0.8575  5 Si 3.07-3.11
Pu1 0.2500 0.7500 0.5000  4 Pu 3.02, 4 Si 3.05
Pu2 0.7500 0.2500 0.5000  4 Pu 3.02, 4 Si 3.05
Si1 0.2500 0.2500 0.7667  4 Pu 3.05, 5 Pm 3.07-3.11
Si2 0.7500 0.7500 0.2333  4 Pu 3.05, 5 Pm 3.07-3.11



Crystalline PmPu2Si6 at its relaxed geometry. Source: Alexandria via LeMat-Bulk, functional PBE.

offset from the most stable computed form: 2.238 eV per formula unit
formation energy from raw total energies: -0.255 eV/atom

Cell lengths 7.4741, 7.4741, 7.4741 Å; angles 149.92, 115.33, 72.95 degrees
With the nearest neighbours (Å) after each atom.
Atoms (fractional coordinates):
Pm1 0.0000 0.0000 0.0000  4 Si 3.05
Pu1 0.3744 0.8744 0.5000  10 Si 2.84-3.04, 1 Pu 3.02
Pu2 0.6256 0.1256 0.5000  10 Si 2.84-3.04, 1 Pu 3.02
Si1 0.0333 0.3090 0.7242  3 Si 2.36-2.44
Si2 0.2941 0.5000 0.7941  2 Si 2.36
Si3 0.4152 0.6910 0.7242  3 Si 2.36-2.44
Si4 0.5848 0.3090 0.2758  3 Si 2.36-2.44
Si5 0.7059 0.5000 0.2059  2 Si 2.36
Si6 0.9667 0.6910 0.2758  3 Si 2.36-2.44



Crystalline PmPu2Si at its relaxed geometry. Source: Alexandria via LeMat-Bulk, functional PBE.

offset from the most stable computed form: 0.310 eV per formula unit
formation energy from raw total energies: -0.122 eV/atom

Cell lengths 3.9008, 3.9008, 6.4650 Å; angles 90.00, 90.00, 90.00 degrees
With the nearest neighbours (Å) after each atom.
Atoms (fractional coordinates):
Pm1 0.0000 0.0000 0.0000  2 Si 3.23, 8 Pu 3.33
Pu1 0.5000 0.5000 0.2883  1 Pu 2.74
Pu2 0.5000 0.5000 0.7117  1 Pu 2.74
Si1 0.0000 0.0000 0.5000  8 Pu 3.08, 2 Pm 3.23



Number 1: density 8.1 g cm⁻³, size of the total moment 6.30 μB per formula unit. Number 2: density 6.6 g cm⁻³, size of the total moment 6.42 μB per formula unit. Number 3: density 7.2 g cm⁻³, size of the total moment 5.45 μB per formula unit. Number 4: density 7.8 g cm⁻³, size of the total moment 10.68 μB per formula unit. Number 5: density 8.5 g cm⁻³, size of the total moment 11.31 μB per formula unit. Number 6: density 11.3 g cm⁻³, size of the total moment 13.18 μB per formula unit. Number 7: density 9.6 g cm⁻³, size of the total moment 10.91 μB per formula unit. Number 8: density 8.4 g cm⁻³, size of the total moment 5.63 μB per formula unit. Number 9: density 9.1 g cm⁻³, size of the total moment 6.25 μB per formula unit. Number 10: density 9.3 g cm⁻³, size of the total moment 6.15 μB per formula unit. Number 11: density 7.1 g cm⁻³, size of the total moment 10.26 μB per formula unit. Number 12: density 11.2 g cm⁻³, size of the total moment 11.44 μB per formula unit.